First-principles (PBE) data for BeBiSN2 after structural relaxation, as listed in Alexandria via LeMat-Bulk.

```
data_BeBiSN2
_chemical_formula_sum 'Be1 Bi1 S1 N2'
_cell_length_a 3.845
_cell_length_b 3.845
_cell_length_c 4.589
_cell_angle_alpha 90.00
_cell_angle_beta 90.00
_cell_angle_gamma 90.00
_space_group_name_H-M_alt 'P 1'
_space_group_IT_number 1
loop_
_space_group_symop_operation_xyz
'x,y,z'
loop_
_atom_site_label
_atom_site_fract_x
_atom_site_fract_y
_atom_site_fract_z
_atom_site_occupancy
Bi1 0.500 0.500 0.500 1
S1 0.000 0.000 0.500 1
Be1 0.000 0.000 0.000 1
N1 0.500 0.000 0.000 1
N2 0.000 0.500 0.000 1
```

**Polymorph energy (0 for the lowest one)**: 0.0 meV/atom
**Symmetry**: No. 123
**E**: -4.665 eV/atom
**E_form (uncorrected)**: 1012 meV/atom



First-principles (PBE) data for BeBiSe2N after structural relaxation, as listed in Alexandria via LeMat-Bulk.

```
data_BeBiSe2N
_chemical_formula_sum 'Be1 Bi1 Se2 N1'
_cell_length_a 5.511
_cell_length_b 5.511
_cell_length_c 4.302
_cell_angle_alpha 90.00
_cell_angle_beta 90.00
_cell_angle_gamma 90.00
_space_group_name_H-M_alt 'P 1'
_space_group_IT_number 1
loop_
_space_group_symop_operation_xyz
'x,y,z'
loop_
_atom_site_label
_atom_site_fract_x
_atom_site_fract_y
_atom_site_fract_z
_atom_site_occupancy
Bi1 0.000 0.000 0.000 1
Be1 0.500 0.500 0.500 1
Se1 0.000 0.500 0.000 1
N1 0.000 0.000 0.500 1
Se2 0.500 0.000 0.000 1
```

**Polymorph energy (0 for the lowest one)**: 1083.4 meV/atom
**Symmetry**: No. 123
**E**: -3.144 eV/atom
**E_form (uncorrected)**: 1436 meV/atom



First-principles (PBE) data for BeBiSe2N after structural relaxation, as listed in Alexandria via LeMat-Bulk.

```
data_BeBiSe2N
_chemical_formula_sum 'Be1 Bi1 Se2 N1'
_cell_length_a 5.293
_cell_length_b 5.293
_cell_length_c 3.235
_cell_angle_alpha 90.00
_cell_angle_beta 90.00
_cell_angle_gamma 90.00
_space_group_name_H-M_alt 'P 1'
_space_group_IT_number 1
loop_
_space_group_symop_operation_xyz
'x,y,z'
loop_
_atom_site_label
_atom_site_fract_x
_atom_site_fract_y
_atom_site_fract_z
_atom_site_occupancy
Be1 0.000 0.000 0.000 1
Se1 0.500 0.000 0.000 1
N1 0.000 0.000 0.500 1
Bi1 0.500 0.500 0.500 1
Se2 0.000 0.500 0.000 1
```

**Polymorph energy (0 for the lowest one)**: 0.0 meV/atom
**Symmetry**: No. 123
**E**: -4.228 eV/atom
**E_form (uncorrected)**: 353 meV/atom



First-principles (PBE) data for BeSnBi2N after structural relaxation, as listed in Alexandria via LeMat-Bulk.

```
data_BeSnBi2N
_chemical_formula_sum 'Be1 Sn1 Bi2 N1'
_cell_length_a 5.966
_cell_length_b 3.893
_cell_length_c 5.966
_cell_angle_alpha 90.00
_cell_angle_beta 90.00
_cell_angle_gamma 90.00
_space_group_name_H-M_alt 'P 1'
_space_group_IT_number 1
loop_
_space_group_symop_operation_xyz
'x,y,z'
loop_
_atom_site_label
_atom_site_fract_x
_atom_site_fract_y
_atom_site_fract_z
_atom_site_occupancy
Sn1 0.000 0.000 0.000 1
Be1 0.500 0.500 0.500 1
Bi1 0.000 0.000 0.500 1
N1 0.000 0.500 0.000 1
Bi2 0.500 0.000 0.000 1
```

**Symmetry**: No. 123
**E**: -3.444 eV/atom
**E_form (uncorrected)**: 1319 meV/atom



First-principles (PBE) data for BeTcBiN2 after structural relaxation, as listed in Alexandria via LeMat-Bulk.

```
data_BeTcBiN2
_chemical_formula_sum 'Be1 Tc1 Bi1 N2'
_cell_length_a 3.823
_cell_length_b 5.841
_cell_length_c 3.823
_cell_angle_alpha 90.00
_cell_angle_beta 90.00
_cell_angle_gamma 90.00
_space_group_name_H-M_alt 'P 1'
_space_group_IT_number 1
loop_
_space_group_symop_operation_xyz
'x,y,z'
loop_
_atom_site_label
_atom_site_fract_x
_atom_site_fract_y
_atom_site_fract_z
_atom_site_occupancy
N1 0.500 0.000 0.000 1
Be1 0.500 0.500 0.500 1
Tc1 0.000 0.000 0.000 1
N2 0.000 0.000 0.500 1
Bi1 0.000 0.500 0.000 1
```

**Symmetry**: No. 123
**E**: -6.093 eV/atom
**E_form (uncorrected)**: 832 meV/atom



First-principles (PBE) data for Be2TlBiN after structural relaxation, as listed in Alexandria via LeMat-Bulk.

```
data_Be2TlBiN
_chemical_formula_sum 'Be2 Tl1 Bi1 N1'
_cell_length_a 4.495
_cell_length_b 4.847
_cell_length_c 4.495
_cell_angle_alpha 90.00
_cell_angle_beta 90.00
_cell_angle_gamma 90.00
_space_group_name_H-M_alt 'P 1'
_space_group_IT_number 1
loop_
_space_group_symop_operation_xyz
'x,y,z'
loop_
_atom_site_label
_atom_site_fract_x
_atom_site_fract_y
_atom_site_fract_z
_atom_site_occupancy
N1 0.000 0.500 0.000 1
Tl1 0.000 0.000 0.000 1
Bi1 0.500 0.500 0.500 1
Be1 0.000 0.000 0.500 1
Be2 0.500 0.000 0.000 1
```

**Symmetry**: No. 123
**E**: -2.784 eV/atom
**E_form (uncorrected)**: 1621 meV/atom



First-principles (PBE) data for NaBeBi2 after structural relaxation, as listed in Alexandria via LeMat-Bulk.

```
data_NaBeBi2
_chemical_formula_sum 'Na2 Be2 Bi4'
_cell_length_a 5.636
_cell_length_b 5.636
_cell_length_c 8.960
_cell_angle_alpha 71.67
_cell_angle_beta 71.67
_cell_angle_gamma 90.00
_space_group_name_H-M_alt 'P 1'
_space_group_IT_number 1
loop_
_space_group_symop_operation_xyz
'x,y,z'
loop_
_atom_site_label
_atom_site_fract_x
_atom_site_fract_y
_atom_site_fract_z
_atom_site_occupancy
Be1 0.500 0.500 0.000 1
Bi1 0.509 0.125 0.250 1
Be2 0.250 0.750 0.500 1
Na1 0.000 0.000 0.000 1
Na2 0.750 0.250 0.500 1
Bi2 0.875 0.759 0.750 1
Bi3 0.375 0.491 0.750 1
Bi4 0.241 0.625 0.250 1
```

**Symmetry**: No. 122
**E**: -3.010 eV/atom



First-principles (PBE) data for Na3BeBi after structural relaxation, as listed in Alexandria via LeMat-Bulk.

```
data_Na3BeBi
_chemical_formula_sum 'Na3 Be1 Bi1'
_cell_length_a 5.996
_cell_length_b 5.996
_cell_length_c 5.996
_cell_angle_alpha 90.00
_cell_angle_beta 90.00
_cell_angle_gamma 90.00
_space_group_name_H-M_alt 'P 1'
_space_group_IT_number 1
loop_
_space_group_symop_operation_xyz
'x,y,z'
loop_
_atom_site_label
_atom_site_fract_x
_atom_site_fract_y
_atom_site_fract_z
_atom_site_occupancy
Na1 0.000 0.500 0.000 1
Na2 0.500 0.000 0.000 1
Bi1 0.000 0.000 0.000 1
Be1 0.500 0.500 0.500 1
Na3 0.000 0.000 0.500 1
```

**Polymorph energy (0 for the lowest one)**: 13.4 meV/atom
**Symmetry**: No. 221
**E**: -1.824 eV/atom



First-principles (PBE) data for Na2BeBi after structural relaxation, as listed in Alexandria via LeMat-Bulk.

```
data_Na2BeBi
_chemical_formula_sum 'Na2 Be1 Bi1'
_cell_length_a 5.135
_cell_length_b 5.135
_cell_length_c 5.135
_cell_angle_alpha 60.00
_cell_angle_beta 60.00
_cell_angle_gamma 60.00
_space_group_name_H-M_alt 'P 1'
_space_group_IT_number 1
loop_
_space_group_symop_operation_xyz
'x,y,z'
loop_
_atom_site_label
_atom_site_fract_x
_atom_site_fract_y
_atom_site_fract_z
_atom_site_occupancy
Bi1 0.500 0.500 0.500 1
Na1 0.250 0.250 0.250 1
Na2 0.750 0.750 0.750 1
Be1 0.000 0.000 0.000 1
```

**Polymorph energy (0 for the lowest one)**: 55.1 meV/atom
**Symmetry**: No. 225
**E**: -2.217 eV/atom



First-principles (PBE) data for Na2BeBi2 after structural relaxation, as listed in Alexandria via LeMat-Bulk.

```
data_Na2BeBi2
_chemical_formula_sum 'Na4 Be2 Bi4'
_cell_length_a 7.203
_cell_length_b 7.203
_cell_length_c 5.309
_cell_angle_alpha 90.00
_cell_angle_beta 90.00
_cell_angle_gamma 90.00
_space_group_name_H-M_alt 'P 1'
_space_group_IT_number 1
loop_
_space_group_symop_operation_xyz
'x,y,z'
loop_
_atom_site_label
_atom_site_fract_x
_atom_site_fract_y
_atom_site_fract_z
_atom_site_occupancy
Na1 0.337 0.163 0.500 1
Be1 0.500 0.500 0.000 1
Na2 0.663 0.837 0.500 1
Bi1 0.158 0.342 0.000 1
Na3 0.837 0.337 0.500 1
Be2 0.000 0.000 0.000 1
Bi2 0.842 0.658 0.000 1
Bi3 0.658 0.158 0.000 1
Bi4 0.342 0.842 0.000 1
Na4 0.163 0.663 0.500 1
```

**Symmetry**: No. 127
**E**: -2.808 eV/atom



First-principles (PBE) data for Na2BeBi after structural relaxation, as listed in Alexandria via LeMat-Bulk.

```
data_Na2BeBi
_chemical_formula_sum 'Na4 Be2 Bi2'
_cell_length_a 11.417
_cell_length_b 11.417
_cell_length_c 8.424
_cell_angle_alpha 47.34
_cell_angle_beta 47.34
_cell_angle_gamma 90.00
_space_group_name_H-M_alt 'P 1'
_space_group_IT_number 1
loop_
_space_group_symop_operation_xyz
'x,y,z'
loop_
_atom_site_label
_atom_site_fract_x
_atom_site_fract_y
_atom_site_fract_z
_atom_site_occupancy
Bi1 0.000 0.000 0.000 1
Na1 0.361 0.625 0.250 1
Na2 0.875 0.639 0.750 1
Na3 0.375 0.611 0.750 1
Be1 0.250 0.750 0.500 1
Na4 0.389 0.125 0.250 1
Be2 0.500 0.500 0.000 1
Bi2 0.750 0.250 0.500 1
```

**Polymorph energy (0 for the lowest one)**: 0.0 meV/atom
**Symmetry**: No. 122
**E**: -2.272 eV/atom



First-principles (PBE) data for Na3BeBi after structural relaxation, as listed in Alexandria via LeMat-Bulk.

```
data_Na3BeBi
_chemical_formula_sum 'Na3 Be1 Bi1'
_cell_length_a 5.286
_cell_length_b 5.286
_cell_length_c 5.286
_cell_angle_alpha 90.00
_cell_angle_beta 90.00
_cell_angle_gamma 90.00
_space_group_name_H-M_alt 'P 1'
_space_group_IT_number 1
loop_
_space_group_symop_operation_xyz
'x,y,z'
loop_
_atom_site_label
_atom_site_fract_x
_atom_site_fract_y
_atom_site_fract_z
_atom_site_occupancy
Na1 0.000 0.000 0.500 1
Na2 0.000 0.500 0.000 1
Na3 0.500 0.000 0.000 1
Be1 0.000 0.000 0.000 1
Bi1 0.500 0.500 0.500 1
```

**Polymorph energy (0 for the lowest one)**: 0.0 meV/atom
**Symmetry**: No. 221
**E**: -1.837 eV/atom



These records have size of the total moment values of 2.3, 1.2, 0.0, 0.0, 0.3, 0.4, 0.0, 0.0, 0.0, 0.0, 0.0, 0.0 μB/f.u., in the order they appear.
These records have calculated density values of 6.805, 4.955, 7.143, 6.707, 6.693, 7.551, 5.862, 2.210, 4.577, 5.702, 2.796, 3.227 g/cm³, in the order they appear.